VASP calculation (PBE) on crystalline GdSF at its relaxed geometry.

- electronic total energy (eV for the cell shown) = -58.084
- SG = P4/nmm, No. 129
- uncorrected formation energy (eV/atom) = -2.987

Unit cell a=3.8482 b=3.8482 c=6.9174 alpha=90.00 beta=90.00 gamma=90.00
Closest atoms and distances in Å follow each position.
Atoms (fractional coordinates):
S: 0.5000 0.0000 0.6442  5 Gd 2.86, 4 F 3.12
S: 0.0000 0.5000 0.3558  5 Gd 2.86, 4 F 3.12
F: 0.5000 0.5000 0.0000  4 Gd 2.50, 4 F 2.72
F: 0.0000 0.0000 0.0000  4 Gd 2.50, 4 F 2.72
Gd: 0.5000 0.0000 0.2305  4 F 2.50
Gd: 0.0000 0.5000 0.7695  4 F 2.50

---

VASP calculation (PBE) on crystalline Gd2SF at its relaxed geometry.

- electronic total energy (eV for the cell shown) = -42.653
- SG = R-3m, No. 166
- uncorrected formation energy (eV/atom) = -2.123

Unit cell a=3.8432 b=3.8432 c=8.0822 alpha=76.25 beta=76.25 gamma=60.00
Closest atoms and distances in Å follow each position.
Atoms (fractional coordinates):
Gd: 0.9046 0.9046 0.2862  1 F 2.22
Gd: 0.0954 0.0954 0.7138  1 F 2.22
S: 0.5000 0.5000 0.5000  6 Gd 2.77
F: 0.0000 0.0000 0.0000  2 Gd 2.22

---

VASP calculation (PBE) on crystalline GdSF at its relaxed geometry.

- electronic total energy (eV for the cell shown) = -28.829
- SG = P-6m2, No. 187
- uncorrected formation energy (eV/atom) = -2.916

Unit cell a=3.8745 b=3.9877 c=3.9877 alpha=120.00 beta=90.00 gamma=90.00
Closest atoms and distances in Å follow each position.
Atoms (fractional coordinates):
S: 0.6667 0.3333 0.6667  6 Gd 3.01, 6 F 3.01
F: 0.1669 0.0000 0.0000  3 Gd 2.30
Gd: 0.1664 0.6667 0.3333  3 F 2.30

---

VASP calculation (PBE) on crystalline GdSF at its relaxed geometry.

- electronic total energy (eV for the cell shown) = -28.497
- SG = F-43m, No. 216
- uncorrected formation energy (eV/atom) = -2.806

Unit cell a=4.4075 b=4.4075 c=4.4075 alpha=60.00 beta=60.00 gamma=60.00
Closest atoms and distances in Å follow each position.
Atoms (fractional coordinates):
F: 0.5000 0.5000 0.5000  4 Gd 2.70
S: 0.0000 0.0000 0.0000  4 Gd 2.70
Gd: 0.2500 0.2500 0.2500  4 S 2.70, 4 F 2.70

---

VASP calculation (PBE) on crystalline GdSF at its relaxed geometry.

- electronic total energy (eV for the cell shown) = -27.612
- SG = I4mm, No. 107
- uncorrected formation energy (eV/atom) = -2.511

Unit cell a=3.8414 b=3.8414 c=4.7852 alpha=113.66 beta=113.66 gamma=90.00
Closest atoms and distances in Å follow each position.
Atoms (fractional coordinates):
Gd: 0.6291 0.6291 0.2582  1 F 2.16
F: 0.3553 0.3553 0.7106  1 Gd 2.16
S: 0.0156 0.0156 0.0312  5 F 2.68-3.00, 4 Gd 2.86

---

VASP calculation (PBE) on crystalline Gd2ScF at its relaxed geometry.

- electronic total energy (eV for the cell shown) = -40.734
- SG = R-3m, No. 166
- uncorrected formation energy (eV/atom) = -1.092

Unit cell a=3.6127 b=3.6127 c=8.7344 alpha=78.06 beta=78.06 gamma=60.00
Closest atoms and distances in Å follow each position.
Atoms (fractional coordinates):
F: 0.0000 0.0000 0.0000  6 Gd 2.63
Gd: 0.2704 0.2704 0.1889  3 F 2.63
Gd: 0.7296 0.7296 0.8111  3 F 2.63
Sc: 0.5000 0.5000 0.5000  6 Gd 3.36, 6 Sc 3.61

---

Question: Among the records above, which one has the lowest electronic total energy?
Answer: number 1

---

Question: uncorrected formation energy of number 3 (GdSF)?
Answer: -2.916 eV/atom